Record 1
The following is a DFT calculation (PBE) of a relaxed SmAlCl crystal.

DFT total energy in eV per atom: -4.40
Uncorrected formation energy in eV per atom: -0.965

a b c (Å): 23.144 3.749 8.021
angles (deg): 90.00 94.15 90.00
Space group C2/m (No. 12)
Unique sites:
1 Sm 0.139 0.000 0.094 (multiplicity 4)
2 Sm 0.141 0.000 0.605 (multiplicity 4)
3 Al 0.246 0.500 0.124 (multiplicity 4)
4 Al 0.248 0.000 0.374 (multiplicity 4)
5 Cl 0.063 0.000 0.335 (multiplicity 4)
6 Cl 0.093 0.500 0.838 (multiplicity 4)

---

Record 2
The following is a DFT calculation (PBE) of a relaxed SrLaGa crystal.

Polymorph energy (0 for the lowest one) in eV per atom: 0.000
Formation enthalpy at 0 K in eV per formula unit: -1.11
DFT total energy in eV per atom: -3.58

a b c (Å): 7.947 5.358 9.300
angles (deg): 90.00 90.00 90.00
Space group Pnma (No. 62)
Unique sites:
1 Sr 0.014 0.250 0.192 (multiplicity 4)
2 La 0.173 0.250 0.586 (multiplicity 4)
3 Ga 0.220 0.750 0.410 (multiplicity 4)

---

Record 3
The following is a DFT calculation (PBE) of a relaxed Co3Sb5As crystal.

DFT total energy in eV per atom: -5.35
Uncorrected formation energy in eV per atom: -0.172

a b c (Å): 6.338 3.388 16.508
angles (deg): 90.00 90.70 90.00
Space group P2/m (No. 10)
Unique sites:
1 Co 0.000 0.000 0.000 (multiplicity 1)
2 Co 0.010 0.000 0.675 (multiplicity 2)
3 Co 0.487 0.500 0.831 (multiplicity 2)
4 Co 0.500 0.500 0.500 (multiplicity 1)
5 Sb 0.138 0.500 0.104 (multiplicity 2)
6 Sb 0.140 0.500 0.430 (multiplicity 2)
7 Sb 0.353 0.000 0.932 (multiplicity 2)
8 Sb 0.355 0.000 0.265 (multiplicity 2)
9 Sb 0.356 0.000 0.601 (multiplicity 2)
10 As 0.143 0.500 0.766 (multiplicity 2)

---

Record 4
The following is a DFT calculation (PBE) of a relaxed ZnRePt crystal.

Polymorph energy (0 for the lowest one) in eV per atom: 0.197
Formation enthalpy at 0 K in eV per formula unit: 0.42
DFT total energy in eV per atom: -6.45

a b c (Å): 4.3751 4.3751 2.6817
angles (deg): 90.00 90.00 120.00
Space group P-6m2 (No. 187)
Unique sites:
1 Zn 0.0000 0.0000 0.0000 (multiplicity 1)
2 Re 0.6667 0.3333 0.5000 (multiplicity 1)
3 Pt 0.3333 0.6667 0.0000 (multiplicity 1)

---

Record 5
The following is a DFT calculation (PBE) of a relaxed Mn2Al2Fe crystal.

Polymorph energy (0 for the lowest one) in eV per atom: 0.000
Formation enthalpy at 0 K in eV per formula unit: 0.05
DFT total energy in eV per atom: -6.85

a b c (Å): 6.869 6.869 2.875
angles (deg): 90.00 90.00 90.00
Space group P4/mbm (No. 127)
Unique sites:
1 Mn 0.164 0.336 0.000 (multiplicity 4)
2 Al 0.135 0.635 0.500 (multiplicity 4)
3 Fe 0.000 0.000 0.500 (multiplicity 2)

---

Record 6
The following is a DFT calculation (PBE) of a relaxed La2TmThBi5 crystal.

Formation enthalpy at 0 K in eV per formula unit: -0.60
DFT total energy in eV per atom: -4.64

a b c (Å): 5.781 5.781 11.845
angles (deg): 90.00 90.00 90.00
Space group P4/mmm (No. 123)
Unique sites:
1 La 0.000 0.000 0.211 (multiplicity 2)
2 Tm 0.500 0.500 0.500 (multiplicity 1)
3 Th 0.500 0.500 0.000 (multiplicity 1)
4 Bi 0.000 0.000 0.500 (multiplicity 1)
5 Bi 0.000 0.500 0.000 (multiplicity 2)
6 Bi 0.500 0.500 0.258 (multiplicity 2)

---

Number 1: size of the total moment 0.00 μB per atom. Number 2: size of the total moment 0.00 μB per atom. Number 3: size of the total moment 0.00 μB per atom. Number 4: size of the total moment 0.00 μB per atom. Number 5: size of the total moment 1.52 μB per atom. Number 6: size of the total moment 0.00 μB per atom.